Below is LiSmPb2 after structural relaxation, with properties calculated at the PBE level.

Its space group is P4/mmm. Its density of states at the Fermi level is 0.26 states/eV per atom. The calculation puts the total energy at -3.950 eV/atom.

Lattice parameters (Å, degrees): 4.8416 4.8416 4.5135 90.00 90.00 90.00
Atoms (fractional coordinates):
Li  0.0000  0.0000  0.0000
Sm  0.5000  0.5000  0.0000
Pb  0.0000  0.5000  0.5000
Pb  0.5000  0.0000  0.5000


Below is LiSm2Pb3 after structural relaxation, with properties calculated at the PBE level.

Its space group is Immm. Its density of states at the Fermi level is 0.52 states/eV per atom. The calculation puts the total energy at -4.056 eV/atom.

Lattice parameters (Å, degrees): 9.4239 9.4239 9.4239 158.02 145.56 41.23
Atoms (fractional coordinates):
Li  0.0000  0.0000  0.0000
Sm  0.3442  0.3442  0.0000
Sm  0.6558  0.6558  0.0000
Pb  0.1625  0.1625  0.0000
Pb  0.5000  0.0000  0.5000
Pb  0.8375  0.8375  0.0000


Below is LiSmSnPb after structural relaxation, with properties calculated at the PBE level.

As for the polymorph energy (0 for the lowest one): 143 meV per atom. Its space group is F-43m. Its density of states at the Fermi level is 0.66 states/eV per atom. The calculation puts the total energy at -3.951 eV/atom.

Lattice parameters (Å, degrees): 5.3146 5.3146 5.3146 60.00 60.00 60.00
Atoms (fractional coordinates):
Li  0.0000  0.0000  0.0000
Sm  0.5000  0.5000  0.5000
Sn  0.2500  0.2500  0.2500
Pb  0.7500  0.7500  0.7500


Below is LiSmSnPb after structural relaxation, with properties calculated at the PBE level.

As for the polymorph energy (0 for the lowest one): 0 meV per atom. Its space group is Pmmm. Its density of states at the Fermi level is 0.31 states/eV per atom. The calculation puts the total energy at -4.093 eV/atom.

Lattice parameters (Å, degrees): 4.5116 4.7007 4.8157 90.00 90.00 90.00
Atoms (fractional coordinates):
Li  0.0000  0.0000  0.0000
Sm  0.0000  0.5000  0.5000
Sn  0.5000  0.0000  0.5000
Pb  0.5000  0.5000  0.0000


Question: Number 4 is which compound?
Answer: LiSmSnPb


What did the third record say?
Below is LiSmSnPb after structural relaxation, with properties calculated at the PBE level.

As for the polymorph energy (0 for the lowest one): 143 meV per atom. Its space group is F-43m. Its density of states at the Fermi level is 0.66 states/eV per atom. The calculation puts the total energy at -3.951 eV/atom.

Lattice parameters (Å, degrees): 5.3146 5.3146 5.3146 60.00 60.00 60.00
Atoms (fractional coordinates):
Li  0.0000  0.0000  0.0000
Sm  0.5000  0.5000  0.5000
Sn  0.2500  0.2500  0.2500
Pb  0.7500  0.7500  0.7500


Question: Number 1 is which compound?
Answer: LiSmPb2